No. 1
A geometry-optimized SrTl2Bi structure, computed with PBE-GGA.

Properties
- SG = No. 122
- total energy (eV per atom) = -2.858

Unit cell a=7.3046 b=7.3046 c=7.3046 alpha=102.20 beta=102.20 gamma=125.26
Fractional positions:
Sr: 0.0000 0.0000 0.0000
Sr: 0.7500 0.2500 0.5000
Tl: 0.1519 0.6250 0.0269
Tl: 0.3750 0.4019 0.5269
Tl: 0.5981 0.1250 0.9731
Tl: 0.8750 0.8481 0.4731
Bi: 0.2500 0.7500 0.5000
Bi: 0.5000 0.5000 0.0000



No. 2
A geometry-optimized ZrAgB2 structure, computed with PBE-GGA.

Properties
- SG = No. 141
- total energy (eV per atom) = -5.541

Unit cell a=7.8932 b=7.8932 c=7.8932 alpha=150.79 beta=150.79 gamma=41.79
Fractional positions:
Zr: 0.3750 0.6250 0.7500
Zr: 0.6250 0.3750 0.2500
Ag: 0.1250 0.8750 0.2500
Ag: 0.8750 0.1250 0.7500
B: 0.0000 0.0000 0.0000
B: 0.0000 0.0000 0.5000
B: 0.0000 0.5000 0.0000
B: 0.5000 0.0000 0.5000



No. 3
A geometry-optimized Tm2Mg3Zn3 structure, computed with PBE-GGA.

Properties
- SG = No. 160
- total energy (eV per atom) = -2.439

Unit cell a=8.4452 b=8.4452 c=8.4452 alpha=33.50 beta=33.50 gamma=33.50
Fractional positions:
Tm: 0.0000 0.0000 0.0000
Tm: 0.4872 0.4872 0.4872
Mg: 0.2397 0.2397 0.2397
Mg: 0.6163 0.6163 0.6163
Mg: 0.7456 0.7456 0.7456
Zn: 0.1202 0.1202 0.1202
Zn: 0.3630 0.3630 0.3630
Zn: 0.8734 0.8734 0.8734



No. 4
A geometry-optimized Pr2DyAu6 structure, computed with PBE-GGA.

Properties
- SG = No. 164
- total energy (eV per atom) = -4.396

Unit cell a=6.6855 b=6.6855 c=5.5685 alpha=90.00 beta=90.00 gamma=120.00
Fractional positions:
Pr: 0.3333 0.6667 0.3341
Pr: 0.6667 0.3333 0.6659
Dy: 0.0000 0.0000 0.5000
Au: 0.1885 0.3770 0.8235
Au: 0.1885 0.8115 0.8235
Au: 0.3770 0.1885 0.1765
Au: 0.6230 0.8115 0.8235
Au: 0.8115 0.1885 0.1765
Au: 0.8115 0.6230 0.1765



Total moment (computed, Bohr magnetons per cell): 0.0 0.0 0.0 0.0
Energy of formation (computed, eV per atom): -0.284 0.648 -0.245 -0.638